1.
Here is crystalline Ba2NaLiN at its relaxed geometry from Alexandria. Energies are from GGA-PBE.

The value obtained for the uncorrected formation energy is -1.58 kcal/mol of atoms. For the offset from the most stable computed form, the calculation gives 18.7 kJ per mole of atoms.

a b c (Å): 5.850 5.850 4.392
angles (deg): 90.00 90.00 90.00
Element x y z (fractional)
Ba 0.000 0.500 0.000
Ba 0.500 0.000 0.000
Na 0.000 0.000 0.500
Li 0.500 0.500 0.500
N 0.500 0.500 0.000

***

2.
Here is crystalline Ba2LiNbN at its relaxed geometry from Alexandria. Energies are from GGA-PBE.

The value obtained for the uncorrected formation energy is 8.93 kcal/mol of atoms.

a b c (Å): 6.494 6.494 4.049
angles (deg): 90.00 90.00 90.00
Element x y z (fractional)
Ba 0.000 0.500 0.000
Ba 0.500 0.000 0.000
Li 0.000 0.000 0.500
Nb 0.500 0.500 0.000
N 0.500 0.500 0.500

***

3.
Here is crystalline BaLiNb4N8 at its relaxed geometry from Alexandria. Energies are from GGA-PBE.

The value obtained for the uncorrected formation energy is -12.23 kcal/mol of atoms.

a b c (Å): 6.716 6.716 6.716
angles (deg): 56.94 56.94 56.94
Element x y z (fractional)
Ba 0.000 0.000 0.000
Li 0.371 0.371 0.371
Nb 0.365 0.365 0.883
Nb 0.365 0.883 0.365
Nb 0.746 0.746 0.746
Nb 0.883 0.365 0.365
N 0.117 0.626 0.626
N 0.125 0.125 0.544
N 0.125 0.544 0.125
N 0.140 0.140 0.140
N 0.544 0.125 0.125
N 0.607 0.607 0.607
N 0.626 0.117 0.626
N 0.626 0.626 0.117

***

4.
Here is crystalline BaLiNiN at its relaxed geometry from Alexandria. Energies are from GGA-PBE.

The value obtained for the uncorrected formation energy is -6.96 kcal/mol of atoms.

a b c (Å): 5.906 5.906 5.906
angles (deg): 144.67 141.59 53.18
Element x y z (fractional)
Ba 0.000 0.000 0.000
Li 0.271 0.271 0.000
Ni 0.697 0.697 0.000
N 0.711 0.211 0.500

***

5.
Here is crystalline Ba2Li2NpN4 at its relaxed geometry from Alexandria. Energies are from GGA-PBE.

The value obtained for the uncorrected formation energy is -16.32 kcal/mol of atoms.

a b c (Å): 6.538 6.538 6.399
angles (deg): 109.94 109.94 31.90
Element x y z (fractional)
Ba 0.144 0.144 0.085
Ba 0.856 0.856 0.915
Li 0.323 0.323 0.509
Li 0.677 0.677 0.491
Np 0.000 0.000 0.500
N 0.180 0.180 0.646
N 0.485 0.485 0.712
N 0.515 0.515 0.288
N 0.820 0.820 0.354

***

6.
Here is crystalline BaLiNp2N4 at its relaxed geometry from Alexandria. Energies are from GGA-PBE.

The value obtained for the uncorrected formation energy is -23.15 kcal/mol of atoms.

a b c (Å): 6.072 6.072 11.461
angles (deg): 90.00 90.00 145.76
Element x y z (fractional)
Ba 0.101 0.899 0.750
Ba 0.899 0.101 0.250
Li 0.171 0.829 0.250
Li 0.829 0.171 0.750
Np 0.368 0.632 0.558
Np 0.368 0.632 0.942
Np 0.632 0.368 0.058
Np 0.632 0.368 0.442
N 0.000 0.000 0.000
N 0.000 0.000 0.500
N 0.249 0.751 0.095
N 0.249 0.751 0.405
N 0.413 0.587 0.750
N 0.587 0.413 0.250
N 0.751 0.249 0.595
N 0.751 0.249 0.905

***

7.
Here is crystalline Ba2LiOsN at its relaxed geometry from Alexandria. Energies are from GGA-PBE.

The value obtained for the uncorrected formation energy is -3.38 kcal/mol of atoms.

a b c (Å): 5.884 5.884 3.831
angles (deg): 90.00 90.00 90.00
Element x y z (fractional)
Ba 0.000 0.500 0.000
Ba 0.500 0.000 0.000
Li 0.000 0.000 0.500
Os 0.500 0.500 0.500
N 0.500 0.500 0.000

***

8.
Here is crystalline Ba2LiOs2N6 at its relaxed geometry from Alexandria. Energies are from GGA-PBE.

The value obtained for the uncorrected formation energy is -3.30 kcal/mol of atoms.

a b c (Å): 7.152 7.152 7.152
angles (deg): 50.32 50.32 50.32
Element x y z (fractional)
Ba 0.245 0.245 0.245
Ba 0.755 0.755 0.755
Li 0.000 0.000 0.000
Os 0.432 0.432 0.432
Os 0.568 0.568 0.568
N 0.244 0.244 0.735
N 0.244 0.735 0.244
N 0.265 0.756 0.756
N 0.735 0.244 0.244
N 0.756 0.265 0.756
N 0.756 0.756 0.265

***

Question: The lowest uncorrected formation energy belongs to which entry?
Answer: BaLiNp2N4

***

Question: What is the uncorrected formation energy in the second record?
Answer: 8.93 kcal/mol of atoms